[1]
Density functional theory data (GGA-PBEsol) for crystalline Cs5Ga3Se7 at its relaxed geometry.

Computed properties:
spin magnetization	0.00	μB per formula unit
formation energy without anion corrections	-1.035	eV per atom
total energy	-0.2803	Ry per atom
volume	1056.5	Å³ per cell
symmetry	C2/m, No. 12

Unit cell a=11.0797 b=11.0797 c=9.6549 alpha=105.33 beta=105.33 gamma=70.41
Closest atoms and distances in Å follow each position.
Fractional positions:
Cs 0.0213 0.4414 0.7816  4 Se 3.46-3.72
Cs 0.1501 0.8499 0.0000  2 Se 3.38
Cs 0.2848 0.7152 0.5000  6 Se 3.62-3.76, 2 Ga 3.96
Cs 0.4244 0.4244 0.8052  5 Se 3.48-3.60, 1 Cs 3.87
Cs 0.4414 0.0213 0.7816  4 Se 3.46-3.72
Cs 0.5586 0.9787 0.2184  4 Se 3.46-3.72
Cs 0.5756 0.5756 0.1948  5 Se 3.48-3.60, 1 Cs 3.87
Cs 0.7152 0.2848 0.5000  6 Se 3.62-3.76, 2 Ga 3.96
Cs 0.8499 0.1501 0.0000  2 Se 3.38
Cs 0.9787 0.5586 0.2184  4 Se 3.46-3.72
Ga 0.0716 0.0716 0.4422  4 Se 2.42-2.43
Ga 0.2136 0.2136 0.3167  4 Se 2.40-2.44
Ga 0.3470 0.3470 0.1620  4 Se 2.37-2.49
Ga 0.6530 0.6530 0.8380  4 Se 2.37-2.49
Ga 0.7864 0.7864 0.6833  4 Se 2.40-2.44
Ga 0.9284 0.9284 0.5578  4 Se 2.42-2.43
Se 0.9999 0.2887 0.3862  2 Ga 2.43-2.44
Se 0.0001 0.7113 0.6138  2 Ga 2.43-2.44
Se 0.0672 0.0672 0.6906  2 Ga 2.42-2.43
Se 0.2019 0.2019 0.0620  2 Ga 2.40-2.49
Se 0.2495 0.5567 0.1019  1 Ga 2.37
Se 0.2887 0.9999 0.3862  2 Ga 2.43-2.44
Se 0.3534 0.3534 0.4238  2 Ga 2.40-2.49
Se 0.4433 0.7505 0.8981  1 Ga 2.37
Se 0.5567 0.2495 0.1019  1 Ga 2.37
Se 0.6466 0.6466 0.5762  2 Ga 2.40-2.49
Se 0.7113 0.0001 0.6138  2 Ga 2.43-2.44
Se 0.7505 0.4433 0.8981  1 Ga 2.37
Se 0.7981 0.7981 0.9380  2 Ga 2.40-2.49
Se 0.9328 0.9328 0.3094  2 Ga 2.42-2.43

---

[2]
Density functional theory data (GGA-PBEsol) for crystalline CsGaSn2Se at its relaxed geometry.

Computed properties:
spin magnetization	0.00	μB per formula unit
formation energy without anion corrections	1.245	eV per atom
total energy	-0.1533	Ry per atom
volume	218.1	Å³ per cell
symmetry	P4/mmm, No. 123

Unit cell a=6.0885 b=6.0885 c=5.8833 alpha=90.00 beta=90.00 gamma=90.00
Closest atoms and distances in Å follow each position.
Fractional positions:
Cs 0.0000 0.0000 0.0000  2 Se 2.94, 4 Sn 3.04
Ga 0.5000 0.5000 0.5000  8 Sn 4.23, 4 Se 4.31
Sn 0.0000 0.5000 0.0000  2 Cs 3.04
Sn 0.5000 0.0000 0.0000  2 Cs 3.04
Se 0.0000 0.0000 0.5000  2 Cs 2.94